[1]
The following is a DFT calculation (GGA-PBE) of LiRe2Ir after structural relaxation.

It has space group Pmm2 (No. 25), with a = 2.7158 Å, b = 3.8766 Å, c = 5.3454 Å, α = 90.00°, β = 90.00° and γ = 90.00°. The distinct sites, in fractional coordinates, are Li at (0.0000, 0.0000, 0.0000), Re at (0.0000, 0.0000, 0.5035), Re at (0.5000, 0.5000, 0.2564) and Ir at (0.5000, 0.5000, 0.7839).

As for the total energy: -0.3245 hartree per atom. The total magnetization is 0.0 μB per cell. The formation energy comes out at 0.09 eV/atom.

---

[2]
The following is a DFT calculation (GGA-PBE) of InAsSe2 after structural relaxation.

It has space group R-3m (No. 166, hexagonal axes), with a = 3.7685 Å, b = 3.7685 Å, c = 27.0257 Å, α = 90.00°, β = 90.00° and γ = 120.00°. The distinct sites, in fractional coordinates, are In at (0.0000, 0.0000, 0.0000), As at (0.0000, 0.0000, 0.5000) and Se at (0.0000, 0.0000, 0.1089).

As for the total energy: -0.1339 hartree per atom. The total magnetization is 0.0 μB per cell. As for the uncorrected formation energy: -0.054 eV/atom.

---

[3]
The following is a DFT calculation (GGA-PBE) of Tb5Ce2Ho6 after structural relaxation.

It has space group Pbam (No. 55), with a = 11.3673 Å, b = 20.6496 Å, c = 3.5299 Å, α = 90.00°, β = 90.00° and γ = 90.00°. The distinct sites, in fractional coordinates, are Tb at (0.0000, 0.0000, 0.0000), Tb at (0.0636, 0.2938, 0.0000), Tb at (0.1869, 0.5791, 0.0000), Ce at (0.1906, 0.7349, 0.5000), Ho at (0.0662, 0.1469, 0.5000), Ho at (0.0841, 0.4381, 0.5000) and Ho at (0.1842, 0.8755, 0.0000).

As for the total energy: -0.1719 hartree per atom. The total magnetization is 2.6 μB per cell. The formation energy comes out at 0.13 eV/atom.

---

[4]
The following is a DFT calculation (GGA-PBE) of CaZrTa2Mn after structural relaxation.

It has space group P4/mmm (No. 123), with a = 5.0824 Å, b = 5.0824 Å, c = 4.5677 Å, α = 90.00°, β = 90.00° and γ = 90.00°. The distinct sites, in fractional coordinates, are Ca at (0.0000, 0.0000, 0.0000), Zr at (0.5000, 0.5000, 0.5000), Ta at (0.0000, 0.5000, 0.5000) and Mn at (0.5000, 0.5000, 0.0000).

As for the total energy: -0.2622 hartree per atom. The total magnetization is 0.0 μB per cell. The formation energy comes out at 1.55 eV/atom.

---

[5]
The following is a DFT calculation (GGA-PBE) of Rb4Th3MgTe8 after structural relaxation.

It has space group R-3m (No. 166, hexagonal axes), with a = 9.0931 Å, b = 9.0931 Å, c = 25.8939 Å, α = 90.00°, β = 90.00° and γ = 120.00°. The distinct sites, in fractional coordinates, are Rb at (0.0000, 0.0000, 0.0000), Rb at (0.0000, 0.5000, 0.0000), Th at (0.0000, 0.5000, 0.5000), Mg at (0.0000, 0.0000, 0.5000), Te at (0.0000, 0.0000, 0.2370) and Te at (0.0089, 0.5044, 0.2334).

As for the total energy: -0.1629 hartree per atom. The total magnetization is 0.0 μB per cell. As for the uncorrected formation energy: -1.129 eV/atom.

---

[6]
The following is a DFT calculation (GGA-PBE) of CaAl2Re after structural relaxation.

It has space group I-42d (No. 122), with a = 4.8222 Å, b = 4.8222 Å, c = 17.2799 Å, α = 90.00°, β = 90.00° and γ = 90.00°. The distinct sites, in fractional coordinates, are Ca at (0.0000, 0.0000, 0.0000), Al at (0.0762, 0.2500, 0.6250) and Re at (0.0000, 0.0000, 0.5000).

The polymorph energy (0 for the lowest one) comes out at 635 meV/atom. As for the total energy: -0.1817 hartree per atom. The total magnetization is 3.1 μB per cell. The formation energy comes out at 0.54 eV/atom.

---

[7]
The following is a DFT calculation (GGA-PBE) of Co2Sb3Se3 after structural relaxation.

It has space group R-3 (No. 148, hexagonal axes), with a = 12.5407 Å, b = 12.5407 Å, c = 15.3963 Å, α = 90.00°, β = 90.00° and γ = 120.00°. The distinct sites, in fractional coordinates, are Co at (0.0000, 0.0000, 0.2438), Co at (0.9997, 0.4987, 0.7561), Sb at (0.0066, 0.8383, 0.3382), Sb at (0.0594, 0.2711, 0.9426), Se at (0.0081, 0.8364, 0.8361) and Se at (0.0581, 0.2737, 0.4396).

As for the total energy: -0.1770 hartree per atom. The total magnetization is 15.6 μB per cell. As for the uncorrected formation energy: -0.187 eV/atom.

---

[8]
The following is a DFT calculation (GGA-PBE) of LaNi after structural relaxation.

It has space group P-6m2 (No. 187), with a = 3.9525 Å, b = 3.9525 Å, c = 3.6812 Å, α = 90.00°, β = 90.00° and γ = 120.00°. The distinct sites, in fractional coordinates, are La at (0.0000, 0.0000, 0.0000) and Ni at (0.3333, 0.6667, 0.5000).

As for the total energy: -0.1992 hartree per atom. The total magnetization is 0.0 μB per cell. The formation energy comes out at -0.07 eV/atom.

---

[9]
The following is a DFT calculation (GGA-PBE) of ScCrSi after structural relaxation.

It has space group F-43m (No. 216), with a = 6.1553 Å, b = 6.1553 Å, c = 6.1553 Å, α = 90.00°, β = 90.00° and γ = 90.00°. The distinct sites, in fractional coordinates, are Sc at (0.0000, 0.0000, 0.0000), Cr at (0.0000, 0.0000, 0.5000) and Si at (0.2500, 0.2500, 0.2500).

As for the total energy: -0.2648 hartree per atom. The total magnetization is 15.6 μB per cell. As for the uncorrected formation energy: -0.079 eV/atom.

---

[10]
The following is a DFT calculation (GGA-PBE) of SrYNO2 after structural relaxation.

It has space group P4/mmm (No. 123), with a = 4.4166 Å, b = 4.4166 Å, c = 4.5002 Å, α = 90.00°, β = 90.00° and γ = 90.00°. The distinct sites, in fractional coordinates, are Sr at (0.0000, 0.0000, 0.0000), Y at (0.5000, 0.5000, 0.5000), N at (0.5000, 0.5000, 0.0000) and O at (0.0000, 0.5000, 0.5000).

As for the total energy: -0.2534 hartree per atom. The total magnetization is 2.0 μB per cell. As for the uncorrected formation energy: -1.617 eV/atom.

---

[11]
The following is a DFT calculation (GGA-PBE) of BaBiSeBr2 after structural relaxation.

It has space group P4/mmm (No. 123), with a = 6.0870 Å, b = 6.0870 Å, c = 6.5263 Å, α = 90.00°, β = 90.00° and γ = 90.00°. The distinct sites, in fractional coordinates, are Ba at (0.0000, 0.0000, 0.0000), Bi at (0.5000, 0.5000, 0.5000), Se at (0.0000, 0.0000, 0.5000) and Br at (0.0000, 0.5000, 0.0000).

The polymorph energy (0 for the lowest one) comes out at 456 meV/atom. As for the total energy: -0.1096 hartree per atom. The total magnetization is 1.0 μB per cell. As for the uncorrected formation energy: -0.457 eV/atom.